Here is SrMgTa2 after structural relaxation from Alexandria. Energies are from PBE-GGA.

Summary:
N(E_F) in states/eV per atom: 0.311
Volume in Å³/cell: 88.28
Symmetry: No. 216
Energy relative to the elements in eV per atom: 0.79

abc: 4.998 4.998 4.998
angles: 60.00 60.00 60.00
Atoms (fractional coordinates):
Sr1 0.000 0.000 0.000
Mg1 0.750 0.750 0.750
Ta1 0.250 0.250 0.250
Ta2 0.500 0.500 0.500